No. 1
Below is an optimized crystal structure of Ca2InSb, with properties calculated at the PBE-GGA level.

The structure belongs to space group I-42d (No. 122); the cell edges are 8.540, 8.540 and 7.179 Å and the angles 90.00°, 90.00° and 90.00°. The distinct sites, in fractional coordinates, are Ca at (0.234, 0.250, 0.125), In at (0.000, 0.000, 0.500) and Sb at (0.000, 0.000, 0.000).

As for the energy relative to the lowest polymorph listed for this composition: 272 meV per atom. The value obtained for the total energy is -49.682 eV per cell.

No. 2
Below is an optimized crystal structure of CaInSb2, with properties calculated at the PBE-GGA level.

The structure belongs to space group P4mm (No. 99); the cell edges are 4.286, 4.286 and 6.379 Å and the angles 90.00°, 90.00° and 90.00°. The distinct sites, in fractional coordinates, are Ca at (0.000, 0.000, 0.000), In at (0.500, 0.500, 0.339), Sb at (0.000, 0.000, 0.499) and Sb at (0.500, 0.500, 0.862).

The value obtained for the total energy is -14.263 eV per cell.

No. 3
Below is an optimized crystal structure of CaInSb2, with properties calculated at the PBE-GGA level.

The structure belongs to space group Immm (No. 71); the cell edges are 4.780, 4.799 and 9.665 Å and the angles 90.00°, 90.00° and 90.00°. The distinct sites, in fractional coordinates, are Ca at (0.000, 0.000, 0.000), In at (0.000, 0.000, 0.500) and Sb at (0.000, 0.500, 0.250).

The value obtained for the total energy is -29.161 eV per cell.

No. 4
Below is an optimized crystal structure of CaInSb, with properties calculated at the PBE-GGA level.

The structure belongs to space group Cmcm (No. 63); the cell edges are 4.577, 13.205 and 6.276 Å and the angles 90.00°, 90.00° and 90.00°. The distinct sites, in fractional coordinates, are Ca at (0.000, 0.162, 0.250), In at (0.000, 0.468, 0.250) and Sb at (0.000, 0.168, 0.750).

The value obtained for the total energy is -42.078 eV per cell.

No. 5
Below is an optimized crystal structure of Ca2InSb, with properties calculated at the PBE-GGA level.

The structure belongs to space group P4/mmm (No. 123); the cell edges are 5.149, 5.149 and 4.340 Å and the angles 90.00°, 90.00° and 90.00°. The distinct sites, in fractional coordinates, are Ca at (0.000, 0.500, 0.000), In at (0.000, 0.000, 0.500) and Sb at (0.500, 0.500, 0.500).

As for the energy relative to the lowest polymorph listed for this composition: 1 meV per atom. The value obtained for the total energy is -13.506 eV per cell.

No. 6
Below is an optimized crystal structure of Ca3InSb, with properties calculated at the PBE-GGA level.

The structure belongs to space group C2/m (No. 12); the cell edges are 16.404, 4.366 and 9.281 Å and the angles 90.00°, 95.13° and 90.00°. The distinct sites, in fractional coordinates, are Ca at (0.047, 0.000, 0.168), Ca at (0.102, 0.500, 0.590), Ca at (0.239, 0.000, 0.824), In at (0.199, 0.000, 0.419) and Sb at (0.108, 0.500, 0.928).

As for the energy relative to the lowest polymorph listed for this composition: 0 meV per atom. The value obtained for the total energy is -63.525 eV per cell.

No. 7
Below is an optimized crystal structure of Ca3InSb, with properties calculated at the PBE-GGA level.

The structure belongs to space group Pm-3m (No. 221); the cell edges are 5.881, 5.881 and 5.881 Å and the angles 90.00°, 90.00° and 90.00°. The distinct sites, in fractional coordinates, are Ca at (0.000, 0.000, 0.500), In at (0.500, 0.500, 0.500) and Sb at (0.000, 0.000, 0.000).

As for the energy relative to the lowest polymorph listed for this composition: 272 meV per atom. The value obtained for the total energy is -14.520 eV per cell.

No. 8
Below is an optimized crystal structure of Ca2InSb, with properties calculated at the PBE-GGA level.

The structure belongs to space group Cmmm (No. 65); the cell edges are 7.162, 9.076 and 3.502 Å and the angles 90.00°, 90.00° and 90.00°. The distinct sites, in fractional coordinates, are Ca at (0.250, 0.250, 0.000), In at (0.000, 0.000, 0.500) and Sb at (0.000, 0.500, 0.500).

As for the energy relative to the lowest polymorph listed for this composition: 47 meV per atom. The value obtained for the total energy is -26.643 eV per cell.

No. 9
Below is an optimized crystal structure of Ca2InSb2, with properties calculated at the PBE-GGA level.

The structure belongs to space group I4/mmm (No. 139); the cell edges are 5.451, 5.451 and 11.833 Å and the angles 90.00°, 90.00° and 90.00°. The distinct sites, in fractional coordinates, are Ca at (0.000, 0.500, 0.250), In at (0.000, 0.000, 0.000) and Sb at (0.000, 0.000, 0.378).

As for the energy relative to the lowest polymorph listed for this composition: 195 meV per atom. The value obtained for the total energy is -34.378 eV per cell.

No. 10
Below is an optimized crystal structure of Ca2InSb, with properties calculated at the PBE-GGA level.

The structure belongs to space group I4/mmm (No. 139); the cell edges are 4.957, 4.957 and 9.257 Å and the angles 90.00°, 90.00° and 90.00°. The distinct sites, in fractional coordinates, are Ca at (0.000, 0.500, 0.250), In at (0.000, 0.000, 0.000) and Sb at (0.000, 0.000, 0.500).

As for the energy relative to the lowest polymorph listed for this composition: 20 meV per atom. The value obtained for the total energy is -26.864 eV per cell.

No. 11
Below is an optimized crystal structure of CaInSb2, with properties calculated at the PBE-GGA level.

The structure belongs to space group I-42d (No. 122); the cell edges are 8.158, 8.158 and 7.412 Å and the angles 90.00°, 90.00° and 90.00°. The distinct sites, in fractional coordinates, are Ca at (0.000, 0.000, 0.000), In at (0.000, 0.000, 0.500) and Sb at (0.220, 0.250, 0.625).

The value obtained for the total energy is -57.125 eV per cell.

No. 12
Below is an optimized crystal structure of Ca5In2Sb6, with properties calculated at the PBE-GGA level.

The structure belongs to space group Pbam (No. 55); the cell edges are 12.167, 14.358 and 4.619 Å and the angles 90.00°, 90.00° and 90.00°. The distinct sites, in fractional coordinates, are Ca at (0.000, 0.000, 0.000), Ca at (0.090, 0.248, 0.000), Ca at (0.177, 0.516, 0.000), In at (0.162, 0.714, 0.500), Sb at (0.040, 0.404, 0.500), Sb at (0.150, 0.092, 0.500) and Sb at (0.163, 0.831, 0.000).

The value obtained for the total energy is -100.028 eV per cell.

No. 13
Below is an optimized crystal structure of Ca2InSb, with properties calculated at the PBE-GGA level.

The structure belongs to space group C2/m (No. 12); the cell edges are 9.834, 4.012 and 6.557 Å and the angles 90.00°, 104.22° and 90.00°. The distinct sites, in fractional coordinates, are Ca at (0.242, 0.000, 0.243), In at (0.000, 0.000, 0.500) and Sb at (0.000, 0.500, 0.000).

As for the energy relative to the lowest polymorph listed for this composition: 142 meV per atom. The value obtained for the total energy is -25.881 eV per cell.

Number 1: formation energy from raw total energies -0.389 eV per atom. Number 2: formation energy from raw total energies -0.320 eV per atom. Number 3: formation energy from raw total energies -0.399 eV per atom. Number 4: formation energy from raw total energies -0.552 eV per atom. Number 5: formation energy from raw total energies -0.661 eV per atom. Number 6: formation energy from raw total energies -0.603 eV per atom. Number 7: formation energy from raw total energies -0.331 eV per atom. Number 8: formation energy from raw total energies -0.614 eV per atom. Number 9: formation energy from raw total energies -0.440 eV per atom. Number 10: formation energy from raw total energies -0.642 eV per atom. Number 11: formation energy from raw total energies -0.324 eV per atom. Number 12: formation energy from raw total energies -0.753 eV per atom. Number 13: formation energy from raw total energies -0.519 eV per atom.